This record from Alexandria via LeMat-Bulk describes an optimized crystal structure of Rb2NaVO4. The functional is GGA+U. Values from VASP.

Values from the calculation:
- Crystal system: orthorhombic
- Total DFT energy (no corrections): -5.5842 eV per atom

The structure in Quantum ESPRESSO input format:
```
&SYSTEM
  ibrav = 0, nat = 16, ntyp = 4
/
ATOMIC_SPECIES
Rb 85.47 Rb.upf
Na 22.99 Na.upf
V 50.94 V.upf
O 16.00 O.upf
CELL_PARAMETERS angstrom
5.5050 0.0000 0.0000
2.7525 5.9986 0.0000
2.7525 0.0000 10.6421
ATOMIC_POSITIONS crystal
Rb 0.1781 0.0000 0.6438
Rb 0.8219 0.0000 0.3562
Rb 0.5719 0.5000 0.8562
Rb 0.9281 0.5000 0.1438
Na 0.7500 0.5000 0.5000
Na 0.0000 0.0000 0.0000
V 0.2500 0.5000 0.5000
V 0.5000 0.0000 0.0000
O 0.3518 0.8279 0.0903
O 0.2700 0.1721 0.9097
O 0.8203 0.8279 0.9097
O 0.5579 0.1721 0.0903
O 0.3982 0.6721 0.4097
O 0.4800 0.3279 0.5903
O 0.9297 0.6721 0.5903
O 0.1921 0.3279 0.4097
```


This record from Alexandria via LeMat-Bulk describes an optimized crystal structure of RbNaVO4. The functional is GGA+U. Values from VASP.

Values from the calculation:
- Crystal system: tetragonal
- Total DFT energy (no corrections): -5.8747 eV per atom

The structure in Quantum ESPRESSO input format:
```
&SYSTEM
  ibrav = 0, nat = 7, ntyp = 4
/
ATOMIC_SPECIES
Rb 85.47 Rb.upf
Na 22.99 Na.upf
V 50.94 V.upf
O 16.00 O.upf
CELL_PARAMETERS angstrom
6.1105 0.0000 0.0000
0.0000 6.1105 0.0000
-3.0553 -3.0553 4.4571
ATOMIC_POSITIONS crystal
Rb 0.0000 0.0000 0.0000
Na 0.5000 0.5000 0.0000
V 0.2500 0.7500 0.5000
O 0.2476 0.0634 0.7291
O 0.3343 0.7524 0.2709
O 0.4815 0.6657 0.7291
O 0.9366 0.5185 0.2709
```


This record from Alexandria via LeMat-Bulk describes an optimized crystal structure of Rb2NaV2O6. The functional is GGA+U. Values from VASP.

Values from the calculation:
- Crystal system: trigonal
- Total DFT energy (no corrections): -6.0454 eV per atom

The structure in Quantum ESPRESSO input format:
```
&SYSTEM
  ibrav = 0, nat = 11, ntyp = 4
/
ATOMIC_SPECIES
Rb 85.47 Rb.upf
Na 22.99 Na.upf
V 50.94 V.upf
O 16.00 O.upf
CELL_PARAMETERS angstrom
-4.5316 -4.1798 -1.2169
-1.1793 -1.7190 -5.9280
2.2184 -6.5865 -1.8619
ATOMIC_POSITIONS crystal
Rb 0.7889 0.7889 0.6333
Rb 0.2111 0.2111 0.3667
Na 0.0000 0.0000 0.0000
V 0.4246 0.4246 0.7263
V 0.5754 0.5754 0.2737
O 0.7410 0.7410 0.2428
O 0.2751 0.7410 0.2428
O 0.7410 0.2751 0.2428
O 0.2590 0.7249 0.7572
O 0.7249 0.2590 0.7572
O 0.2590 0.2590 0.7572
```


This record from Alexandria via LeMat-Bulk describes an optimized crystal structure of RbNa2WO. The functional is GGA+U. Values from VASP.

Values from the calculation:
- Crystal system: tetragonal
- Total DFT energy (no corrections): -2.2512 eV per atom

The structure in Quantum ESPRESSO input format:
```
&SYSTEM
  ibrav = 0, nat = 5, ntyp = 4
/
ATOMIC_SPECIES
O 16.00 O.upf
Na 22.99 Na.upf
Rb 85.47 Rb.upf
W 183.84 W.upf
CELL_PARAMETERS angstrom
6.0983 0.0000 0.0000
0.0000 4.5898 0.0000
0.0000 0.0000 6.0983
ATOMIC_POSITIONS crystal
O 0.0000 0.5000 0.0000
Na 0.0000 0.0000 0.5000
Na 0.5000 0.0000 0.0000
Rb 0.0000 0.0000 0.0000
W 0.5000 0.5000 0.5000
```


This record from Alexandria via LeMat-Bulk describes an optimized crystal structure of Rb2NaWO4. The functional is GGA+U. Values from VASP.

Values from the calculation:
- Crystal system: tetragonal
- Total DFT energy (no corrections): -5.5833 eV per atom

The structure in Quantum ESPRESSO input format:
```
&SYSTEM
  ibrav = 0, nat = 8, ntyp = 4
/
ATOMIC_SPECIES
Rb 85.47 Rb.upf
Na 22.99 Na.upf
W 183.84 W.upf
O 16.00 O.upf
CELL_PARAMETERS angstrom
-3.3386 1.6320 4.7387
4.0970 -4.3106 0.9477
3.8716 4.1024 -2.1085
ATOMIC_POSITIONS crystal
Rb 0.5000 0.7500 0.2500
Rb 0.0000 0.0000 0.0000
Na 0.5000 0.2500 0.7500
W 0.0000 0.5000 0.5000
O 0.6272 0.3811 0.4518
O 0.0707 0.2461 0.6189
O 0.9293 0.5482 0.1754
O 0.3728 0.8246 0.7539
```


This record from Alexandria via LeMat-Bulk describes an optimized crystal structure of RbNaWO4. The functional is GGA+U. Values from VASP.

Values from the calculation:
- Crystal system: monoclinic
- Total DFT energy (no corrections): -6.1701 eV per atom

The structure in Quantum ESPRESSO input format:
```
&SYSTEM
  ibrav = 0, nat = 14, ntyp = 4
/
ATOMIC_SPECIES
Rb 85.47 Rb.upf
Na 22.99 Na.upf
W 183.84 W.upf
O 16.00 O.upf
CELL_PARAMETERS angstrom
-2.4327 4.5133 3.6169
1.0305 -3.6478 5.2449
7.3548 1.3898 -0.4784
ATOMIC_POSITIONS crystal
Rb 0.7196 0.7500 0.9451
Rb 0.2804 0.2500 0.0549
Na 0.8199 0.7500 0.4853
Na 0.1801 0.2500 0.5147
W 0.2736 0.7500 0.3411
W 0.7264 0.2500 0.6589
O 0.9120 0.4730 0.6942
O 0.0880 0.9730 0.3058
O 0.0880 0.5270 0.3058
O 0.9120 0.0270 0.6942
O 0.4384 0.7500 0.1770
O 0.5616 0.2500 0.8230
O 0.4631 0.7500 0.5734
O 0.5369 0.2500 0.4266
```